*P*
# AgPtBr (PBE, relaxed)
data_AgPtBr
_cell_length_a 3.4205
_cell_length_b 3.4205
_cell_length_c 5.9466
_cell_angle_alpha 90.00
_cell_angle_beta 90.00
_cell_angle_gamma 120.00
_symmetry_space_group_name_H-M 'P 3 m 1'
_symmetry_Int_Tables_number 156
_symmetry_space_group_name_Hall 'P 3 -2"'
loop_
_atom_site_label
_atom_site_type_symbol
_atom_site_fract_x
_atom_site_fract_y
_atom_site_fract_z
Ag1 Ag 0.0000 0.0000 0.0000
Pt1 Pt 0.3333 0.6667 0.6806
Br1 Br 0.6667 0.3333 0.3651
# **Density**: 10.55 g/cm3

=====

*Q*
# AgPtBr (PBE, relaxed)
data_AgPtBr
_cell_length_a 6.4330
_cell_length_b 6.4330
_cell_length_c 6.4330
_cell_angle_alpha 90.00
_cell_angle_beta 90.00
_cell_angle_gamma 90.00
_symmetry_space_group_name_H-M 'F -4 3 m'
_symmetry_Int_Tables_number 216
_symmetry_space_group_name_Hall 'F -4 2 3'
loop_
_atom_site_label
_atom_site_type_symbol
_atom_site_fract_x
_atom_site_fract_y
_atom_site_fract_z
Ag1 Ag 0.0000 0.0000 0.0000
Pt1 Pt 0.2500 0.2500 0.2500
Br1 Br 0.0000 0.0000 0.5000
# **Density**: 9.55 g/cm3

=====

*R*
# AgPtBr (PBE, relaxed)
data_AgPtBr
_cell_length_a 10.1562
_cell_length_b 3.2784
_cell_length_c 8.2738
_cell_angle_alpha 90.00
_cell_angle_beta 90.00
_cell_angle_gamma 90.00
_symmetry_space_group_name_H-M 'A m m 2'
_symmetry_Int_Tables_number 38
_symmetry_space_group_name_Hall 'A 2 -2'
loop_
_atom_site_label
_atom_site_type_symbol
_atom_site_fract_x
_atom_site_fract_y
_atom_site_fract_z
Ag1 Ag 0.0000 0.0000 0.0000
Ag2 Ag 0.5000 0.0000 0.0118
Pt1 Pt 0.1319 0.0000 0.2868
Br1 Br 0.3252 0.0000 0.7333
# **Density**: 9.23 g/cm3

=====

Calculated relative energies: *P* 0.067; *Q* 0.177; *R* 0.000, given in eV/atom

=====

*P*
# AgPtBr (PBE, relaxed)
data_AgPtBr
_cell_length_a 4.5303
_cell_length_b 4.5303
_cell_length_c 3.3208
_cell_angle_alpha 90.00
_cell_angle_beta 90.00
_cell_angle_gamma 120.00
_symmetry_space_group_name_H-M 'P -6 m 2'
_symmetry_Int_Tables_number 187
_symmetry_space_group_name_Hall 'P -6 2'
loop_
_atom_site_label
_atom_site_type_symbol
_atom_site_fract_x
_atom_site_fract_y
_atom_site_fract_z
Ag1 Ag 0.0000 0.0000 0.0000
Pt1 Pt 0.6667 0.3333 0.5000
Br1 Br 0.3333 0.6667 0.5000
# **Density**: 10.77 g/cm3

=====

*Q*
# AgPtBr (PBE, relaxed)
data_AgPtBr
_cell_length_a 3.5667
_cell_length_b 5.4391
_cell_length_c 12.4107
_cell_angle_alpha 90.00
_cell_angle_beta 90.00
_cell_angle_gamma 90.00
_symmetry_space_group_name_H-M 'F m m 2'
_symmetry_Int_Tables_number 42
_symmetry_space_group_name_Hall 'F 2 -2'
loop_
_atom_site_label
_atom_site_type_symbol
_atom_site_fract_x
_atom_site_fract_y
_atom_site_fract_z
Ag1 Ag 0.0000 0.0000 0.0000
Pt1 Pt 0.0000 0.0000 0.6615
Br1 Br 0.0000 0.0000 0.3161
# **Density**: 10.56 g/cm3

=====

*R*
# AgPtBr (PBE, relaxed)
data_AgPtBr
_cell_length_a 3.6946
_cell_length_b 3.6946
_cell_length_c 8.8312
_cell_angle_alpha 90.00
_cell_angle_beta 90.00
_cell_angle_gamma 90.00
_symmetry_space_group_name_H-M 'I 4 m m'
_symmetry_Int_Tables_number 107
_symmetry_space_group_name_Hall 'I 4 -2'
loop_
_atom_site_label
_atom_site_type_symbol
_atom_site_fract_x
_atom_site_fract_y
_atom_site_fract_z
Ag1 Ag 0.0000 0.0000 0.0000
Pt1 Pt 0.0000 0.0000 0.6166
Br1 Br 0.0000 0.0000 0.3276
# **Density**: 10.55 g/cm3

=====

Calculated relative energies: *P* 0.010; *Q* 0.000; *R* 0.026, given in eV/atom

=====

*P*
# AgPtBr3 (PBE, relaxed)
data_AgPtBr3
_cell_length_a 5.1682
_cell_length_b 5.1682
_cell_length_c 5.1682
_cell_angle_alpha 90.00
_cell_angle_beta 90.00
_cell_angle_gamma 90.00
_symmetry_space_group_name_H-M 'P m -3 m'
_symmetry_Int_Tables_number 221
_symmetry_space_group_name_Hall '-P 4 2 3'
loop_
_atom_site_label
_atom_site_type_symbol
_atom_site_fract_x
_atom_site_fract_y
_atom_site_fract_z
Ag1 Ag 0.0000 0.0000 0.0000
Pt1 Pt 0.5000 0.5000 0.5000
Br1 Br 0.0000 0.5000 0.5000
# **Density**: 6.53 g/cm3

=====

*Q*
# AgPtBr3 (PBE, relaxed)
data_AgPtBr3
_cell_length_a 5.2198
_cell_length_b 5.2198
_cell_length_c 5.2198
_cell_angle_alpha 90.00
_cell_angle_beta 90.00
_cell_angle_gamma 90.00
_symmetry_space_group_name_H-M 'P m -3 m'
_symmetry_Int_Tables_number 221
_symmetry_space_group_name_Hall '-P 4 2 3'
loop_
_atom_site_label
_atom_site_type_symbol
_atom_site_fract_x
_atom_site_fract_y
_atom_site_fract_z
Ag1 Ag 0.0000 0.0000 0.0000
Pt1 Pt 0.5000 0.5000 0.5000
Br1 Br 0.0000 0.0000 0.5000
# **Density**: 6.34 g/cm3

=====

Calculated relative energies: *P* 0.000; *Q* 0.674, given in eV/atom

=====

*P*
# PuAg2Br6 (PBE, relaxed)
data_PuAg2Br6
_cell_length_a 14.2913
_cell_length_b 12.3995
_cell_length_c 7.4892
_cell_angle_alpha 90.00
_cell_angle_beta 95.91
_cell_angle_gamma 90.00
_symmetry_space_group_name_H-M 'C 1 2/c 1'
_symmetry_Int_Tables_number 15
_symmetry_space_group_name_Hall '-C 2yc'
loop_
_atom_site_label
_atom_site_type_symbol
_atom_site_fract_x
_atom_site_fract_y
_atom_site_fract_z
Pu1 Pu 0.0000 0.0906 0.2500
Ag1 Ag 0.1090 0.4432 0.2945
Br1 Br 0.1086 0.0699 0.5901
Br2 Br 0.1189 0.2432 0.1380
Br3 Br 0.1241 0.3827 0.6239
# **Density**: 4.73 g/cm3

=====

*Q*
# PuAg2Br6 (PBE, relaxed)
data_PuAg2Br6
_cell_length_a 6.8552
_cell_length_b 7.9158
_cell_length_c 13.4415
_cell_angle_alpha 90.00
_cell_angle_beta 115.73
_cell_angle_gamma 90.00
_symmetry_space_group_name_H-M 'P 1 21/c 1'
_symmetry_Int_Tables_number 14
_symmetry_space_group_name_Hall '-P 2ybc'
loop_
_atom_site_label
_atom_site_type_symbol
_atom_site_fract_x
_atom_site_fract_y
_atom_site_fract_z
Pu1 Pu 0.0000 0.0000 0.0000
Ag1 Ag 0.4119 0.1003 0.8919
Br1 Br 0.1182 0.2149 0.4161
Br2 Br 0.2155 0.7168 0.4184
Br3 Br 0.3640 0.0322 0.2047
# **Density**: 4.75 g/cm3

=====

Calculated relative energies: *P* 0.055; *Q* 0.000, given in eV/atom

=====

*P*
# Rb3AgBr4 (PBE, relaxed)
data_Rb3AgBr4
_cell_length_a 11.3987
_cell_length_b 9.3459
_cell_length_c 6.9594
_cell_angle_alpha 90.00
_cell_angle_beta 90.00
_cell_angle_gamma 90.00
_symmetry_space_group_name_H-M 'P m n 21'
_symmetry_Int_Tables_number 31
_symmetry_space_group_name_Hall 'P 2ac -2'
loop_
_atom_site_label
_atom_site_type_symbol
_atom_site_fract_x
_atom_site_fract_y
_atom_site_fract_z
Rb1 Rb 0.0000 0.1313 0.0000
Rb2 Rb 0.2326 0.3307 0.5034
Ag1 Ag 0.0000 0.8088 0.4311
Br1 Br 0.0000 0.1051 0.5021
Br2 Br 0.0000 0.7822 0.0357
Br3 Br 0.2226 0.6969 0.5078
# **Density**: 3.06 g/cm3

=====

*Q*
# Rb3AgBr4 (PBE, relaxed)
data_Rb3AgBr4
_cell_length_a 9.2212
_cell_length_b 12.1353
_cell_length_c 10.8567
_cell_angle_alpha 90.00
_cell_angle_beta 90.00
_cell_angle_gamma 90.00
_symmetry_space_group_name_H-M 'P n m a'
_symmetry_Int_Tables_number 62
_symmetry_space_group_name_Hall '-P 2ac 2n'
loop_
_atom_site_label
_atom_site_type_symbol
_atom_site_fract_x
_atom_site_fract_y
_atom_site_fract_z
Rb1 Rb 0.0133 0.0349 0.2131
Rb2 Rb 0.0987 0.7500 0.4515
Ag1 Ag 0.1855 0.7500 0.0012
Br1 Br 0.0456 0.2500 0.8461
Br2 Br 0.2035 0.0416 0.5177
Br3 Br 0.2233 0.7500 0.7432
# **Density**: 3.74 g/cm3

=====

Calculated relative energies: *P* 0.029; *Q* 0.000, given in eV/atom

=====

*P*
# Rb3AgBr6 (PBE, relaxed)
data_Rb3AgBr6
_cell_length_a 8.6306
_cell_length_b 9.7152
_cell_length_c 11.8476
_cell_angle_alpha 90.00
_cell_angle_beta 125.55
_cell_angle_gamma 90.00
_symmetry_space_group_name_H-M 'P 1 21/c 1'
_symmetry_Int_Tables_number 14
_symmetry_space_group_name_Hall '-P 2ybc'
loop_
_atom_site_label
_atom_site_type_symbol
_atom_site_fract_x
_atom_site_fract_y
_atom_site_fract_z
Rb1 Rb 0.0000 0.0000 0.0000
Rb2 Rb 0.2241 0.1087 0.7426
Ag1 Ag 0.5000 0.0000 0.5000
Br1 Br 0.1840 0.1188 0.4169
Br2 Br 0.2167 0.6997 0.3809
Br3 Br 0.4577 0.0760 0.2776
# **Density**: 3.47 g/cm3

=====

*Q*
# Rb3AgBr6 (PBE, relaxed)
data_Rb3AgBr6
_cell_length_a 15.4768
_cell_length_b 19.6673
_cell_length_c 5.5402
_cell_angle_alpha 90.00
_cell_angle_beta 90.00
_cell_angle_gamma 90.00
_symmetry_space_group_name_H-M 'C m c 21'
_symmetry_Int_Tables_number 36
_symmetry_space_group_name_Hall 'C 2c -2'
loop_
_atom_site_label
_atom_site_type_symbol
_atom_site_fract_x
_atom_site_fract_y
_atom_site_fract_z
Rb1 Rb 0.0000 0.1350 0.0000
Rb2 Rb 0.1918 0.3723 0.8042
Ag1 Ag 0.0000 0.2978 0.5019
Br1 Br 0.0000 0.3075 0.0104
Br2 Br 0.0000 0.4293 0.5041
Br3 Br 0.1340 0.2087 0.5301
Br4 Br 0.1655 0.0029 0.0591
# **Density**: 3.32 g/cm3

=====

*R*
# Rb3AgBr6 (PBE, relaxed)
data_Rb3AgBr6
_cell_length_a 11.7698
_cell_length_b 11.7698
_cell_length_c 11.7698
_cell_angle_alpha 90.00
_cell_angle_beta 90.00
_cell_angle_gamma 90.00
_symmetry_space_group_name_H-M 'F m -3 m'
_symmetry_Int_Tables_number 225
_symmetry_space_group_name_Hall '-F 4 2 3'
loop_
_atom_site_label
_atom_site_type_symbol
_atom_site_fract_x
_atom_site_fract_y
_atom_site_fract_z
Rb1 Rb 0.0000 0.0000 0.0000
Rb2 Rb 0.2500 0.2500 0.2500
Ag1 Ag 0.0000 0.0000 0.5000
Br1 Br 0.0000 0.0000 0.2735
# **Density**: 3.44 g/cm3

=====

Calculated relative energies: *P* 0.033; *Q* 0.000; *R* 0.081, given in eV/atom

=====

*P*
# Rb2Ag3Br5 (PBE, relaxed)
data_Rb2Ag3Br5
_cell_length_a 9.4063
_cell_length_b 18.8036
_cell_length_c 7.7830
_cell_angle_alpha 90.00
_cell_angle_beta 90.00
_cell_angle_gamma 90.00
_symmetry_space_group_name_H-M 'I b a m'
_symmetry_Int_Tables_number 72
_symmetry_space_group_name_Hall '-I 2 2c'
loop_
_atom_site_label
_atom_site_type_symbol
_atom_site_fract_x
_atom_site_fract_y
_atom_site_fract_z
Rb1 Rb 0.1984 0.1741 0.0000
Ag1 Ag 0.0000 0.0000 0.2500
Ag2 Ag 0.0822 0.3989 0.0000
Br1 Br 0.0000 0.2950 0.2500
Br2 Br 0.0000 0.5000 0.2500
Br3 Br 0.1224 0.0840 0.5000
# **Density**: 4.31 g/cm3

=====

*Q*
# Rb2Ag3Br5 (PBE, relaxed)
data_Rb2Ag3Br5
_cell_length_a 15.6241
_cell_length_b 4.4911
_cell_length_c 9.8352
_cell_angle_alpha 90.00
_cell_angle_beta 111.96
_cell_angle_gamma 90.00
_symmetry_space_group_name_H-M 'C 1 2/m 1'
_symmetry_Int_Tables_number 12
_symmetry_space_group_name_Hall '-C 2y'
loop_
_atom_site_label
_atom_site_type_symbol
_atom_site_fract_x
_atom_site_fract_y
_atom_site_fract_z
Rb1 Rb 0.1691 0.0000 0.2046
Ag1 Ag 0.0000 0.0000 0.5000
Ag2 Ag 0.0581 0.5000 0.7592
Br1 Br 0.0000 0.5000 0.0000
Br2 Br 0.1126 0.5000 0.4537
Br3 Br 0.1636 0.0000 0.8219
# **Density**: 4.64 g/cm3

=====

Calculated relative energies: *P* 0.021; *Q* 0.000, given in eV/atom

=====

*P*
# Rb2AgBr5 (PBE, relaxed)
data_Rb2AgBr5
_cell_length_a 7.9736
_cell_length_b 7.9736
_cell_length_c 9.2355
_cell_angle_alpha 90.00
_cell_angle_beta 90.00
_cell_angle_gamma 90.00
_symmetry_space_group_name_H-M 'I 4 m m'
_symmetry_Int_Tables_number 107
_symmetry_space_group_name_Hall 'I 4 -2'
loop_
_atom_site_label
_atom_site_type_symbol
_atom_site_fract_x
_atom_site_fract_y
_atom_site_fract_z
Rb1 Rb 0.0000 0.5000 0.0000
Ag1 Ag 0.0000 0.0000 0.2762
Br1 Br 0.0000 0.0000 0.6137
Br2 Br 0.2258 0.2258 0.2469
# **Density**: 3.84 g/cm3

=====

*Q*
# Rb2AgBr5 (PBE, relaxed)
data_Rb2AgBr5
_cell_length_a 6.6452
_cell_length_b 15.8398
_cell_length_c 14.0385
_cell_angle_alpha 90.00
_cell_angle_beta 90.00
_cell_angle_gamma 90.00
_symmetry_space_group_name_H-M 'C m c m'
_symmetry_Int_Tables_number 63
_symmetry_space_group_name_Hall '-C 2c 2'
loop_
_atom_site_label
_atom_site_type_symbol
_atom_site_fract_x
_atom_site_fract_y
_atom_site_fract_z
Rb1 Rb 0.0000 0.1653 0.0898
Ag1 Ag 0.0000 0.1641 0.7500
Br1 Br 0.0000 0.0515 0.6212
Br2 Br 0.0000 0.2800 0.6223
Br3 Br 0.0000 0.3224 0.2500
# **Density**: 3.05 g/cm3

=====

Calculated relative energies: *P* 0.000; *Q* 0.090, given in eV/atom